Here is a geometry-optimized CoP3H structure from the Alexandria database. Energies are from GGA-PBE.

Calculated values
Its excess energy over the best structure of this formula in the dataset is 79.2 meV/atom. As for the crystal system: triclinic. The value obtained for the density of states at the Fermi level is 2.371 states/eV/f.u.

Lattice parameters (Å, degrees): 3.9046 4.0488 4.8660 91.05 95.90 108.33
Space group P1 (No. 1)
Inequivalent atoms, fractional coordinates:
Co: 0.0000 0.0000 0.0000 [1 per cell]
P: 0.3789 0.2414 0.3639 [1 per cell]
P: 0.4757 0.0180 0.7736 [1 per cell]
P: 0.7860 0.4553 0.0700 [1 per cell]
H: 0.3391 0.5526 0.4870 [1 per cell]

Here is a geometry-optimized Co2P2H structure from the Alexandria database. Energies are from GGA-PBE.

Calculated values
Its excess energy over the best structure of this formula in the dataset is 66.4 meV/atom. As for the crystal system: orthorhombic. The value obtained for the density of states at the Fermi level is 3.265 states/eV/f.u.

Lattice parameters (Å, degrees): 4.3832 3.0922 7.6799 90.00 90.00 90.00
Space group Amm2 (No. 38)
Inequivalent atoms, fractional coordinates:
Co: 0.0000 0.0000 0.0000 [2 per cell]
Co: 0.5000 0.0000 0.3908 [2 per cell]
P: 0.0000 0.0000 0.2948 [2 per cell]
P: 0.5000 0.0000 0.0994 [2 per cell]
H: 0.5000 0.0000 0.8018 [2 per cell]

Here is a geometry-optimized CoP3H structure from the Alexandria database. Energies are from GGA-PBE.

Calculated values
Its excess energy over the best structure of this formula in the dataset is 122.1 meV/atom. As for the crystal system: monoclinic. The value obtained for the density of states at the Fermi level is 1.133 states/eV/f.u.

Lattice parameters (Å, degrees): 4.3775 3.1095 4.6303 90.00 95.68 90.00
Space group Pm (No. 6)
Inequivalent atoms, fractional coordinates:
Co: 0.0000 0.0000 0.0000 [1 per cell]
P: 0.2342 0.5000 0.7136 [1 per cell]
P: 0.5950 0.0000 0.6622 [1 per cell]
P: 0.9037 0.5000 0.3146 [1 per cell]
H: 0.2969 0.0000 0.1933 [1 per cell]

Here is a geometry-optimized Co2P2H structure from the Alexandria database. Energies are from GGA-PBE.

Calculated values
Its excess energy over the best structure of this formula in the dataset is 82.1 meV/atom. As for the crystal system: monoclinic. The value obtained for the density of states at the Fermi level is 1.906 states/eV/f.u.

Lattice parameters (Å, degrees): 6.4612 3.4697 5.4522 90.00 110.12 90.00
Space group Cm (No. 8)
Inequivalent atoms, fractional coordinates:
Co: 0.0000 0.0000 0.0000 [2 per cell]
Co: 0.0819 0.5000 0.6794 [2 per cell]
P: 0.1242 0.0000 0.4271 [2 per cell]
P: 0.3000 0.0000 0.9106 [2 per cell]
H: 0.3608 0.0000 0.4213 [2 per cell]

Here is a geometry-optimized CoP3H structure from the Alexandria database. Energies are from GGA-PBE.

Calculated values
Its excess energy over the best structure of this formula in the dataset is 88.0 meV/atom. As for the crystal system: monoclinic. The value obtained for the density of states at the Fermi level is 1.247 states/eV/f.u.

Lattice parameters (Å, degrees): 7.9852 4.2715 3.5737 90.00 93.18 90.00
Space group Cm (No. 8)
Inequivalent atoms, fractional coordinates:
Co: 0.0000 0.0000 0.0000 [2 per cell]
P: 0.0379 0.5000 0.1499 [2 per cell]
P: 0.1749 0.0000 0.5241 [2 per cell]
P: 0.3120 0.5000 0.4527 [2 per cell]
H: 0.4789 0.0000 0.5211 [2 per cell]

Here is a geometry-optimized CoP3H structure from the Alexandria database. Energies are from GGA-PBE.

Calculated values
Its excess energy over the best structure of this formula in the dataset is 15.4 meV/atom. As for the crystal system: monoclinic. The value obtained for the density of states at the Fermi level is 1.222 states/eV/f.u.

Lattice parameters (Å, degrees): 8.6561 3.3165 6.2681 90.00 130.32 90.00
Space group Cm (No. 8)
Inequivalent atoms, fractional coordinates:
Co: 0.0000 0.0000 0.0000 [2 per cell]
P: 0.3212 0.0000 0.3510 [2 per cell]
P: 0.3391 0.0000 0.7273 [2 per cell]
P: 0.4909 0.5000 0.3452 [2 per cell]
H: 0.0913 0.0000 0.8650 [2 per cell]

Here is a geometry-optimized Pa2Co12PH3 structure from the Alexandria database. Energies are from GGA-PBE.

Calculated values
As for the crystal system: trigonal. The value obtained for the density of states at the Fermi level is 17.649 states/eV/f.u. The calculation puts the electronic total energy at -6.703 eV per atom.

Lattice parameters (Å, degrees): 6.4110 6.4110 16.8817 90.00 90.00 120.00
Space group R-3m (No. 166, hexagonal axes)
Inequivalent atoms, fractional coordinates:
Pa: 0.0000 0.0000 0.1049 [6 per cell]
Co: 0.0404 0.5202 0.8859 [18 per cell]
Co: 0.0765 0.5383 0.3271 [18 per cell]
P: 0.0000 0.0000 0.5000 [3 per cell]
H: 0.0000 0.5000 0.0000 [9 per cell]

Here is a geometry-optimized PmCo2PH structure from the Alexandria database. Energies are from GGA-PBE.

Calculated values
As for the crystal system: orthorhombic. The value obtained for the density of states at the Fermi level is 2.473 states/eV/f.u. The calculation puts the electronic total energy at -6.248 eV per atom.

Lattice parameters (Å, degrees): 3.6441 10.3103 6.6458 90.00 90.00 90.00
Space group Cmcm (No. 63)
Inequivalent atoms, fractional coordinates:
Pm: 0.0000 0.0555 0.2500 [4 per cell]
Co: 0.0000 0.3292 0.0609 [8 per cell]
P: 0.0000 0.2245 0.7500 [4 per cell]
H: 0.0000 0.5000 0.0000 [4 per cell]